The following is a DFT calculation (PBE-GGA) of a relaxed structure of Tl3C.

Output
Total moment ... 0.000 μB per atom
Formation energy from the elements ... 412.7 kJ/mol of formula units
Space-group type ... P6_3/mmc (194)
D(E_F) ... 0.33 states/eV per atom
Total energy ... -3.011 eV per atom

a = 8.681 Å, b = 8.681 Å, c = 3.412 Å
α = 90.00°, β = 90.00°, γ = 120.00°
Fractional coordinates of all 8 atoms:
Tl  0.203  0.407  0.250
Tl  0.203  0.797  0.250
Tl  0.407  0.203  0.750
Tl  0.593  0.797  0.250
Tl  0.797  0.203  0.750
Tl  0.797  0.593  0.750
C  0.333  0.667  0.750
C  0.667  0.333  0.250